No. 1
Entry from the Alexandria database: crystalline TlIn2Mo at its relaxed geometry (PBE-GGA).

Lattice parameters (Å, degrees): 3.7937 3.7937 6.0202 90.00 90.00 90.00
With the nearest neighbours (Å) after each atom.
Positions (direct):
In  0.0000  0.0000  0.0007  2 Mo 2.94-3.08, 4 Tl 3.11, 4 In 3.13
Tl  0.5000  0.5000  0.7404  5 In 2.83-3.11, 4 Mo 3.08
Mo  0.0000  0.0000  0.4891  6 In 2.94-3.08, 4 Tl 3.08
In  0.5000  0.5000  0.2698  1 Tl 2.83, 4 Mo 2.99, 4 In 3.13

Fermi-level density of states: 0.80 states/eV per atom
Energy relative to the elements: 0.48 eV/atom
Space group: No. 99
Volume: 86.6 Å³/cell
ΔE to the lowest computed polymorph: 123.3 meV/atom
Energy: -4.186 eV/atom

No. 2
Entry from the Alexandria database: crystalline TlIn2Mo at its relaxed geometry (PBE-GGA).

Lattice parameters (Å, degrees): 5.1317 5.1317 5.1317 60.00 60.00 60.00
With the nearest neighbours (Å) after each atom.
Positions (direct):
In  0.2500  0.2500  0.2500  4 Tl 3.14, 4 Mo 3.14
Mo  0.0000  0.0000  0.0000  8 In 3.14
Tl  0.5000  0.5000  0.5000  8 In 3.14
In  0.7500  0.7500  0.7500  4 Tl 3.14, 4 Mo 3.14

Fermi-level density of states: 0.61 states/eV per atom
Energy relative to the elements: 0.73 eV/atom
Space group: No. 225
Volume: 95.6 Å³/cell
ΔE to the lowest computed polymorph: 375.5 meV/atom
Energy: -3.934 eV/atom

No. 3
Entry from the Alexandria database: crystalline TlIn3Mo at its relaxed geometry (PBE-GGA).

Lattice parameters (Å, degrees): 5.6649 5.6649 5.6649 90.00 90.00 90.00
With the nearest neighbours (Å) after each atom.
Positions (direct):
Mo  0.5000  0.5000  0.5000  12 In 4.01
Tl  0.0000  0.0000  0.0000  6 In 2.83
In  0.5000  0.0000  0.0000  2 Tl 2.83
In  0.0000  0.0000  0.5000  2 Tl 2.83
In  0.0000  0.5000  0.0000  2 Tl 2.83

Fermi-level density of states: 0.50 states/eV per atom
Energy relative to the elements: 1.33 eV/atom
Space group: No. 221
Volume: 181.8 Å³/cell
ΔE to the lowest computed polymorph: 935.8 meV/atom
Energy: -2.951 eV/atom

No. 4
Entry from the Alexandria database: crystalline TlIn2Mo at its relaxed geometry (PBE-GGA).

Lattice parameters (Å, degrees): 3.1960 5.3899 6.0888 55.56 90.00 90.00
With the nearest neighbours (Å) after each atom.
Positions (direct):
In  0.0000  0.0000  0.0000  2 Tl 3.04, 4 Mo 3.13, 6 In 3.13-3.20
In  0.5000  0.5000  0.0000  2 Mo 3.04, 4 Tl 3.13, 6 In 3.13-3.20
Mo  0.5000  0.5000  0.5000  6 In 3.04-3.13, 4 Tl 3.13, 2 Mo 3.20
Tl  0.0000  0.0000  0.5000  6 In 3.04-3.13, 4 Mo 3.13, 2 Tl 3.20

Fermi-level density of states: 0.89 states/eV per atom
Energy relative to the elements: 0.57 eV/atom
Space group: No. 10
Volume: 86.5 Å³/cell
ΔE to the lowest computed polymorph: 212.9 meV/atom
Energy: -4.096 eV/atom

No. 5
Entry from the Alexandria database: crystalline TlIn2Mo at its relaxed geometry (PBE-GGA).

Lattice parameters (Å, degrees): 3.7592 3.7592 6.1182 90.00 90.00 90.00
With the nearest neighbours (Å) after each atom.
Positions (direct):
Tl  0.5000  0.5000  0.7500  2 Mo 3.06, 8 In 3.14
Mo  0.5000  0.5000  0.2500  8 In 3.00, 2 Tl 3.06
In  0.0000  0.0000  0.0219  1 In 2.79, 4 Mo 3.00
In  0.0000  0.0000  0.4781  1 In 2.79, 4 Mo 3.00

Fermi-level density of states: 0.79 states/eV per atom
Energy relative to the elements: 0.43 eV/atom
Space group: No. 123
Volume: 86.5 Å³/cell
ΔE to the lowest computed polymorph: 67.3 meV/atom
Energy: -4.242 eV/atom

No. 6
Entry from the Alexandria database: crystalline TlIn2Mo at its relaxed geometry (PBE-GGA).

Lattice parameters (Å, degrees): 7.5842 7.5842 4.8253 71.46 71.46 22.56
With the nearest neighbours (Å) after each atom.
Positions (direct):
In  0.9979  0.9979  0.0021  4 Mo 2.83, 2 In 2.97
In  0.8220  0.8220  0.6783  2 Mo 2.87, 2 In 2.97
Mo  0.4968  0.4968  0.5032  6 In 2.83-2.87, 2 Mo 2.97, 2 Tl 3.01
Tl  0.1833  0.1833  0.3165  2 Tl 2.97, 2 Mo 3.01

Fermi-level density of states: 0.74 states/eV per atom
Energy relative to the elements: 0.36 eV/atom
Space group: No. 44
Volume: 100.7 Å³/cell
ΔE to the lowest computed polymorph: 0.0 meV/atom
Energy: -4.309 eV/atom

No. 7
Entry from the Alexandria database: crystalline TlIn2Mo at its relaxed geometry (PBE-GGA).

Lattice parameters (Å, degrees): 5.3996 5.3996 3.1642 90.00 90.00 111.14
With the nearest neighbours (Å) after each atom.
Positions (direct):
Mo  0.5000  0.0000  0.5000  2 Tl 3.05, 8 In 3.13, 2 Mo 3.16
In  0.0000  0.0000  0.0000  4 In 3.05-3.16, 4 Mo 3.13, 4 Tl 3.13
Tl  0.0000  0.5000  0.5000  2 Mo 3.05, 8 In 3.13, 2 Tl 3.16
In  0.5000  0.5000  0.0000  4 In 3.05-3.16, 4 Tl 3.13, 4 Mo 3.13

Fermi-level density of states: 0.87 states/eV per atom
Energy relative to the elements: 0.53 eV/atom
Space group: No. 65
Volume: 86.0 Å³/cell
ΔE to the lowest computed polymorph: 170.6 meV/atom
Energy: -4.139 eV/atom

No. 8
Entry from the Alexandria database: crystalline TlIn2Mo at its relaxed geometry (PBE-GGA).

Lattice parameters (Å, degrees): 3.0881 3.0881 9.6253 90.00 90.00 90.01
With the nearest neighbours (Å) after each atom.
Positions (direct):
In  0.0000  0.0000  0.0413  4 Mo 2.97, 4 In 3.09
Tl  0.5000  0.5000  0.7500  4 Tl 3.09
In  0.0000  0.0000  0.4587  4 Mo 2.97, 4 In 3.09
Mo  0.5000  0.5000  0.2500  8 In 2.97, 4 Mo 3.09

Fermi-level density of states: 0.83 states/eV per atom
Energy relative to the elements: 0.37 eV/atom
Space group: No. 123
Volume: 91.8 Å³/cell
ΔE to the lowest computed polymorph: 8.8 meV/atom
Energy: -4.300 eV/atom

No. 9
Entry from the Alexandria database: crystalline TlIn2Mo at its relaxed geometry (PBE-GGA).

Lattice parameters (Å, degrees): 4.6806 3.1163 6.7262 62.41 90.00 90.00
With the nearest neighbours (Å) after each atom.
Positions (direct):
In  0.0000  0.9830  0.0156  3 In 2.80-3.12
Tl  0.5000  0.7500  0.7500  2 Mo 2.98, 2 Tl 3.12, 8 In 3.22-3.23
Mo  0.5000  0.2500  0.2500  2 Tl 2.98, 2 Mo 3.12, 8 In 3.14
In  0.0000  0.5170  0.4844  3 In 2.80-3.12

Fermi-level density of states: 0.49 states/eV per atom
Energy relative to the elements: 0.47 eV/atom
Space group: No. 47
Volume: 87.0 Å³/cell
ΔE to the lowest computed polymorph: 112.1 meV/atom
Energy: -4.197 eV/atom

No. 10
Entry from the Alexandria database: crystalline TlIn4Mo at its relaxed geometry (PBE-GGA).

Lattice parameters (Å, degrees): 5.8658 5.8658 5.8658 60.00 60.00 60.00
With the nearest neighbours (Å) after each atom.
Positions (direct):
Tl  0.0000  0.0000  0.0000  12 In 3.44, 4 Mo 3.59
In  0.3756  0.3756  0.8733  6 In 2.92-2.95
Mo  0.7500  0.7500  0.7500  12 In 3.44, 4 Tl 3.59
In  0.8733  0.3756  0.3756  6 In 2.92-2.95
In  0.3756  0.8733  0.3756  6 In 2.92-2.95
In  0.3756  0.3756  0.3756  6 In 2.92-2.95

Fermi-level density of states: 0.45 states/eV per atom
Energy relative to the elements: 0.62 eV/atom
Space group: No. 216
Volume: 142.7 Å³/cell
Energy: -3.402 eV/atom

No. 11
Entry from the Alexandria database: crystalline TlIn3Mo at its relaxed geometry (PBE-GGA).

Lattice parameters (Å, degrees): 5.3332 5.3332 5.3332 90.00 90.00 90.00
With the nearest neighbours (Å) after each atom.
Positions (direct):
In  0.0000  0.5000  0.0000  2 Mo 2.67
In  0.5000  0.0000  0.0000  2 Mo 2.67
Tl  0.5000  0.5000  0.5000  12 In 3.77
Mo  0.0000  0.0000  0.0000  6 In 2.67
In  0.0000  0.0000  0.5000  2 Mo 2.67

Fermi-level density of states: 0.66 states/eV per atom
Energy relative to the elements: 0.40 eV/atom
Space group: No. 221
Volume: 151.7 Å³/cell
ΔE to the lowest computed polymorph: 0.0 meV/atom
Energy: -3.887 eV/atom

No. 12
Entry from the Alexandria database: crystalline TlZnInMo2 at its relaxed geometry (PBE-GGA).

Lattice parameters (Å, degrees): 5.2899 5.5658 5.2899 90.00 90.00 90.00
With the nearest neighbours (Å) after each atom.
Positions (direct):
Mo  0.5000  0.0000  0.0000  2 In 2.64
Zn  0.5000  0.5000  0.5000  4 Tl 3.74, 8 Mo 3.84
Mo  0.0000  0.0000  0.5000  2 In 2.64
In  0.0000  0.0000  0.0000  4 Mo 2.64, 2 Tl 2.78
Tl  0.0000  0.5000  0.0000  2 In 2.78

Fermi-level density of states: 0.79 states/eV per atom
Energy relative to the elements: 1.95 eV/atom
Space group: No. 123
Volume: 155.7 Å³/cell
Energy: -3.661 eV/atom

Q: Look up the Fermi-level density of states of the first one.
A: 0.80 states/eV per atom

Q: The highest energy relative to the elements belongs to which entry?
A: TlZnInMo2